(1)
In2TeIr | PBE | relaxed

The raw formation energy is 0.400 eV/f.u.

It has space group P4/mmm (No. 123), with a = 3.1919 Å, b = 3.1919 Å, c = 8.9187 Å, α = 90.00°, β = 90.00° and γ = 90.00°. Symmetry generates all atoms from In at (0.0000, 0.0000, 0.1930), Te at (0.5000, 0.5000, 0.5000) and Ir at (0.5000, 0.5000, 0.0000).

(2)
Na3Au5F12 | PBE | relaxed

The raw formation energy is -24.913 eV/f.u.

It has space group Ia-3d (No. 230), with a = 14.3031 Å, b = 14.3031 Å, c = 14.3031 Å, α = 90.00°, β = 90.00° and γ = 90.00°. Symmetry generates all atoms from Na at (0.0000, 0.2500, 0.1250), Au at (0.0000, 0.0000, 0.0000), Au at (0.0000, 0.2500, 0.3750) and F at (0.0008, 0.0204, 0.6530).